Entry 1:
Below is an optimized crystal structure of BeZn2As, with properties calculated at the GGA-PBE level.

The value obtained for the formation energy is 0.2986 eV per atom. As for the crystal system: tetragonal. The calculation puts the total energy at -9.73 eV per cell. The calculation puts the energy above the most stable polymorph in this dataset at 123.9 meV/atom. Its symmetry is P4/mmm.

Cell and atoms, written as extended XYZ:
```
4
Lattice="3.663 0.000 0.000 0.000 3.667 0.000 0.000 0.000 4.462" Properties=species:S:1:pos:R:3 pbc="T T T"
Be 0.000 1.833 2.231
Zn 0.000 0.000 0.000
As 1.832 0.000 2.231
Zn 1.832 1.833 0.000
```

Entry 2:
Below is an optimized crystal structure of La2InBrO, with properties calculated at the GGA-PBE level.

As for the crystal system: tetragonal. Its uncorrected formation energy is -2.26 eV per formula unit. The calculation puts the total energy at -21.48 eV per cell. Its symmetry is P4/mmm.

Cell and atoms, written as extended XYZ:
```
5
Lattice="-0.496 5.612 -1.467 -4.003 -1.397 -3.989 -3.007 0.479 2.850" Properties=species:S:1:pos:R:3 pbc="T T T"
La -2.002 -0.698 -1.995
In -3.754 2.347 -1.303
La -0.248 2.806 -0.733
Br 0.000 0.000 0.000
O -1.504 0.240 1.425
```